A plane-wave DFT calculation with PBE was carried out for crystalline ErLuCrIn at its relaxed geometry.

a b c (Å): 7.2793 7.2793 7.2793
angles (deg): 90.00 90.00 90.00
Space group F-43m (No. 216)
One atom of each set of equivalent atoms:
1 Er 0.0000 0.0000 0.0000 (multiplicity 4)
2 Lu 0.0000 0.0000 0.5000 (multiplicity 4)
3 Cr 0.2500 0.2500 0.2500 (multiplicity 4)
4 In 0.2500 0.2500 0.7500 (multiplicity 4)

A plane-wave DFT calculation with PBE was carried out for crystalline ErTmCrIn at its relaxed geometry.

a b c (Å): 7.3058 7.3058 7.3058
angles (deg): 90.00 90.00 90.00
Space group F-43m (No. 216)
One atom of each set of equivalent atoms:
1 Er 0.0000 0.0000 0.0000 (multiplicity 4)
2 Tm 0.0000 0.0000 0.5000 (multiplicity 4)
3 Cr 0.2500 0.2500 0.7500 (multiplicity 4)
4 In 0.2500 0.2500 0.2500 (multiplicity 4)

A plane-wave DFT calculation with PBE was carried out for crystalline Er2CrIr3 at its relaxed geometry.

a b c (Å): 5.4509 5.4509 8.2044
angles (deg): 90.00 90.00 120.00
Space group P6_3/mmc (No. 194)
One atom of each set of equivalent atoms:
1 Er 0.3333 0.6667 0.0628 (multiplicity 4)
2 Cr 0.0000 0.0000 0.0000 (multiplicity 2)
3 Ir 0.1687 0.3375 0.7500 (multiplicity 6)

So what do the calculations give for calculated density? Going down the list: 8.77; 8.57; 15.15 g/cm3.
So what do the calculations give for electronic total energy? Going down the list: -5.4039; -5.3961; -8.2711 eV per atom.
So what do the calculations give for calculated formation energy? Going down the list: -43; -47; -716 meV/atom.